No. 1
Entry from Alexandria via LeMat-Bulk: an optimized crystal structure of K2CrSi (GGA-PBE).

a b c (Å): 4.375 4.375 5.578
angles (deg): 90.00 90.00 90.00
Positions (direct):
K: 0.000 0.500 0.000
K: 0.500 0.000 0.000
Cr: 0.000 0.000 0.500
Si: 0.500 0.500 0.500

Results
Formation energy from raw total energies = 0.8318 eV/atom
Total DFT energy (no corrections) = -3.48 eV/atom
Calculated density = 2.5 Mg/m³

No. 2
Entry from Alexandria via LeMat-Bulk: an optimized crystal structure of KCr3Si (GGA-PBE).

a b c (Å): 4.977 4.977 4.977
angles (deg): 90.00 90.00 90.00
Positions (direct):
K: 0.000 0.000 0.000
Cr: 0.000 0.500 0.500
Cr: 0.500 0.000 0.500
Cr: 0.500 0.500 0.000
Si: 0.500 0.500 0.500

Results
Formation energy from raw total energies = 0.9771 eV/atom
E above lowest polymorph = 0.0000 eV per atom
Total DFT energy (no corrections) = -6.10 eV/atom
Calculated density = 3.0 Mg/m³

No. 3
Entry from Alexandria via LeMat-Bulk: an optimized crystal structure of K2CrSi (GGA-PBE).

a b c (Å): 9.288 9.288 9.288
angles (deg): 93.74 93.74 150.40
Positions (direct):
K: 0.375 0.177 0.302
K: 0.823 0.125 0.198
K: 0.875 0.073 0.698
K: 0.927 0.625 0.802
Cr: 0.000 0.000 0.000
Cr: 0.750 0.250 0.500
Si: 0.250 0.750 0.500
Si: 0.500 0.500 0.000

Results
Formation energy from raw total energies = 0.5607 eV/atom
Total DFT energy (no corrections) = -3.75 eV/atom
Calculated density = 1.4 Mg/m³

No. 4
Entry from Alexandria via LeMat-Bulk: an optimized crystal structure of K2CrSi (GGA-PBE).

a b c (Å): 4.759 4.759 5.337
angles (deg): 90.00 90.00 108.20
Positions (direct):
K: 0.000 0.500 0.000
K: 0.500 0.000 0.000
Cr: 0.000 0.000 0.500
Si: 0.500 0.500 0.500

Results
Formation energy from raw total energies = 0.8075 eV/atom
Total DFT energy (no corrections) = -3.50 eV/atom
Calculated density = 2.3 Mg/m³

No. 5
Entry from Alexandria via LeMat-Bulk: an optimized crystal structure of K2CrSi (GGA-PBE).

a b c (Å): 5.326 5.326 5.326
angles (deg): 60.00 60.00 60.00
Positions (direct):
K: 0.000 0.000 0.000
K: 0.250 0.250 0.250
Cr: 0.500 0.500 0.500
Si: 0.750 0.750 0.750

Results
Formation energy from raw total energies = 0.7020 eV/atom
Total DFT energy (no corrections) = -3.61 eV/atom
Calculated density = 2.5 Mg/m³

No. 6
Entry from Alexandria via LeMat-Bulk: an optimized crystal structure of KCr4Si (GGA-PBE).

a b c (Å): 4.993 4.993 4.993
angles (deg): 60.00 60.00 60.00
Positions (direct):
K: 0.000 0.000 0.000
Cr: 0.374 0.374 0.374
Cr: 0.374 0.374 0.878
Cr: 0.374 0.878 0.374
Cr: 0.878 0.374 0.374
Si: 0.750 0.750 0.750

Results
Formation energy from raw total energies = 1.0956 eV/atom
Total DFT energy (no corrections) = -6.41 eV/atom
Calculated density = 5.2 Mg/m³

No. 7
Entry from Alexandria via LeMat-Bulk: an optimized crystal structure of K2CrSi (GGA-PBE).

a b c (Å): 4.838 5.328 6.754
angles (deg): 90.00 95.12 90.00
Positions (direct):
K: 0.209 0.000 0.262
K: 0.791 0.000 0.738
Cr: 0.500 0.500 0.000
Si: 0.000 0.500 0.000

Results
Formation energy from raw total energies = 0.5785 eV/atom
Total DFT energy (no corrections) = -3.73 eV/atom
Calculated density = 1.5 Mg/m³

No. 8
Entry from Alexandria via LeMat-Bulk: an optimized crystal structure of K2CrSi (GGA-PBE).

a b c (Å): 3.524 3.524 10.239
angles (deg): 90.00 90.00 90.00
Positions (direct):
K: 0.000 0.000 0.000
K: 0.500 0.500 0.397
Cr: 0.500 0.500 0.706
Si: 0.000 0.000 0.681

Results
Formation energy from raw total energies = 0.3690 eV/atom
Total DFT energy (no corrections) = -3.94 eV/atom
Calculated density = 2.1 Mg/m³

No. 9
Entry from Alexandria via LeMat-Bulk: an optimized crystal structure of K2CrSi (GGA-PBE).

a b c (Å): 11.945 11.945 11.945
angles (deg): 16.17 16.17 16.17
Positions (direct):
K: 0.245 0.245 0.245
K: 0.755 0.755 0.755
Cr: 0.000 0.000 0.000
Si: 0.500 0.500 0.500

Results
Formation energy from raw total energies = 1.0153 eV/atom
Total DFT energy (no corrections) = -3.30 eV/atom
Calculated density = 2.3 Mg/m³

No. 10
Entry from Alexandria via LeMat-Bulk: an optimized crystal structure of K3CrSi (GGA-PBE).

a b c (Å): 6.461 6.461 6.461
angles (deg): 90.00 90.00 90.00
Positions (direct):
K: 0.000 0.000 0.500
K: 0.000 0.500 0.000
K: 0.500 0.000 0.000
Cr: 0.500 0.500 0.500
Si: 0.000 0.000 0.000

Results
Formation energy from raw total energies = 0.8944 eV/atom
E above lowest polymorph = 0.0000 eV per atom
Total DFT energy (no corrections) = -2.77 eV/atom
Calculated density = 1.2 Mg/m³

No. 11
Entry from Alexandria via LeMat-Bulk: an optimized crystal structure of K2CrSiSn (GGA-PBE).

a b c (Å): 6.205 6.205 4.742
angles (deg): 90.00 90.00 90.00
Positions (direct):
K: 0.000 0.500 0.000
K: 0.500 0.000 0.000
Cr: 0.000 0.000 0.000
Si: 0.000 0.000 0.500
Sn: 0.500 0.500 0.500

Results
Formation energy from raw total energies = 0.6947 eV/atom
Total DFT energy (no corrections) = -3.55 eV/atom
Calculated density = 2.5 Mg/m³

No. 12
Entry from Alexandria via LeMat-Bulk: an optimized crystal structure of KCrSi2Te8 (GGA-PBE).

a b c (Å): 9.756 9.756 9.756
angles (deg): 41.40 41.40 41.40
Positions (direct):
K: 0.000 0.000 0.000
Cr: 0.500 0.500 0.500
Si: 0.251 0.251 0.251
Si: 0.749 0.749 0.749
Te: 0.125 0.798 0.425
Te: 0.202 0.575 0.875
Te: 0.346 0.346 0.346
Te: 0.425 0.125 0.798
Te: 0.575 0.875 0.202
Te: 0.654 0.654 0.654
Te: 0.798 0.425 0.125
Te: 0.875 0.202 0.575

Results
Formation energy from raw total energies = -0.1210 eV/atom
Total DFT energy (no corrections) = -4.01 eV/atom
Calculated density = 5.3 Mg/m³